Here is a relaxed LiZn3Ge3 crystal from the Alexandria database. Energies are from GGA-PBE.

Computed properties:
Formation enthalpy at 0 K = 0.3127 eV per atom

Unit cell a=7.0071 b=7.0071 c=7.0071 alpha=90.00 beta=90.00 gamma=90.00
Sites, in units of the cell vectors:
Ge: 0.2500 0.0000 0.5000
Ge: 0.0000 0.5000 0.2500
Ge: 0.5000 0.7500 0.0000
Ge: 0.7500 0.0000 0.5000
Ge: 0.0000 0.5000 0.7500
Ge: 0.5000 0.2500 0.0000
Zn: 0.0000 0.2500 0.5000
Zn: 0.0000 0.7500 0.5000
Zn: 0.5000 0.0000 0.7500
Zn: 0.7500 0.5000 0.0000
Zn: 0.5000 0.0000 0.2500
Zn: 0.2500 0.5000 0.0000
Li: 0.5000 0.5000 0.5000
Li: 0.0000 0.0000 0.0000

=====

Here is a relaxed ThGaSi2Rh5 crystal from the Alexandria database. Energies are from GGA-PBE.

Computed properties:
Formation energy from raw total energies = -0.6468 eV per atom

Unit cell a=4.0887 b=4.0887 c=9.7400 alpha=90.00 beta=90.00 gamma=90.00
Sites, in units of the cell vectors:
Th: 0.0000 0.0000 0.5000
Ga: 0.0000 0.0000 0.0000
Si: 0.5000 0.5000 0.2631
Si: 0.5000 0.5000 0.7369
Rh: 0.0000 0.5000 0.1534
Rh: 0.5000 0.0000 0.1534
Rh: 0.0000 0.5000 0.8466
Rh: 0.5000 0.0000 0.8466
Rh: 0.5000 0.5000 0.5000

=====

Here is a relaxed ZnCr3Pt crystal from the Alexandria database. Energies are from GGA-PBE.

Computed properties:
Formation enthalpy at 0 K = 1.1443 eV per atom
Energy above the most stable polymorph in this dataset = 0 meV/atom

Unit cell a=4.8834 b=4.8834 c=4.8834 alpha=90.00 beta=90.00 gamma=90.00
Sites, in units of the cell vectors:
Cr: 0.0000 0.5000 0.0000
Cr: 0.0000 0.0000 0.5000
Cr: 0.5000 0.0000 0.0000
Zn: 0.5000 0.5000 0.5000
Pt: 0.0000 0.0000 0.0000

=====

Here is a relaxed CsTeCl3 crystal from the Alexandria database. Energies are from GGA-PBE.

Computed properties:
Energy above the most stable polymorph in this dataset = 67 meV/atom
Formation energy from raw total energies = -1.0048 eV per atom

Unit cell a=5.5638 b=5.5638 c=5.5638 alpha=90.00 beta=90.00 gamma=90.00
Sites, in units of the cell vectors:
Cs: 0.5000 0.5000 0.5000
Te: 0.0000 0.0000 0.0000
Cl: 0.0000 0.5000 0.0000
Cl: 0.0000 0.0000 0.5000
Cl: 0.5000 0.0000 0.0000

=====

Here is a relaxed Co3Pt2Rh crystal from the Alexandria database. Energies are from GGA-PBE.

Computed properties:
Formation enthalpy at 0 K = 0.0343 eV per atom

Unit cell a=5.3588 b=8.3473 c=8.3473 alpha=120.00 beta=90.00 gamma=90.00
Sites, in units of the cell vectors:
Co: 0.0000 0.8373 0.6746
Co: 0.0000 0.8373 0.1627
Co: 0.0000 0.3254 0.1627
Co: 0.0000 0.1627 0.3254
Co: 0.0000 0.1627 0.8373
Co: 0.0000 0.6746 0.8373
Co: 0.5000 0.1627 0.3254
Co: 0.5000 0.1627 0.8373
Co: 0.5000 0.6746 0.8373
Co: 0.5000 0.8373 0.6746
Co: 0.5000 0.8373 0.1627
Co: 0.5000 0.3254 0.1627
Pt: 0.2500 0.0000 0.0000
Pt: 0.7500 0.0000 0.0000
Pt: 0.2500 0.5000 0.0000
Pt: 0.2500 0.5000 0.5000
Pt: 0.2500 0.0000 0.5000
Pt: 0.7500 0.5000 0.0000
Pt: 0.7500 0.5000 0.5000
Pt: 0.7500 0.0000 0.5000
Rh: 0.0000 0.6667 0.3333
Rh: 0.0000 0.3333 0.6667
Rh: 0.5000 0.3333 0.6667
Rh: 0.5000 0.6667 0.3333

=====

Here is a relaxed BeAgSe2 crystal from the Alexandria database. Energies are from GGA-PBE.

Computed properties:
Formation energy from raw total energies = 0.3417 eV per atom

Unit cell a=3.1565 b=3.1612 c=7.1091 alpha=90.00 beta=90.00 gamma=90.00
Sites, in units of the cell vectors:
Be: 0.5000 0.5000 0.7500
Se: 0.0000 0.0000 0.9552
Se: 0.0000 0.0000 0.5448
Ag: 0.5000 0.5000 0.2500

=====

Here is a relaxed TcAsRuO2 crystal from the Alexandria database. Energies are from GGA-PBE.

Computed properties:
Formation energy from raw total energies = 0.0412 eV per atom

Unit cell a=3.7349 b=5.6383 c=3.7349 alpha=90.00 beta=90.00 gamma=90.00
Sites, in units of the cell vectors:
Ru: 0.0000 0.0000 0.0000
As: 0.0000 0.5000 0.0000
Tc: 0.5000 0.5000 0.5000
O: 0.0000 0.0000 0.5000
O: 0.5000 0.0000 0.0000

=====

Here is a relaxed Tm2ZrNb crystal from the Alexandria database. Energies are from GGA-PBE.

Computed properties:
Formation enthalpy at 0 K = 0.4699 eV per atom

Unit cell a=3.2046 b=3.2046 c=11.2871 alpha=81.84 beta=81.84 gamma=60.00
Sites, in units of the cell vectors:
Nb: 0.0000 0.0000 0.0000
Tm: 0.0870 0.0870 0.7391
Tm: 0.9130 0.9130 0.2609
Zr: 0.5000 0.5000 0.5000

=====

Here is a relaxed Rb2CdIn4Sn3 crystal from the Alexandria database. Energies are from GGA-PBE.

Computed properties:
Formation enthalpy at 0 K = -0.1453 eV per atom

Unit cell a=5.1632 b=5.1632 c=12.2770 alpha=90.00 beta=90.00 gamma=90.00
Sites, in units of the cell vectors:
Rb: 0.5000 0.0000 0.2490
Rb: 0.0000 0.5000 0.7510
Cd: 0.5000 0.5000 0.5000
In: 0.5000 0.5000 0.0000
In: 0.0000 0.0000 0.0000
In: 0.5000 0.0000 0.6294
In: 0.0000 0.5000 0.3706
Sn: 0.0000 0.0000 0.5000
Sn: 0.5000 0.0000 0.8691
Sn: 0.0000 0.5000 0.1309

=====

Here is a relaxed Tl3SnS4 crystal from the Alexandria database. Energies are from GGA-PBE.

Computed properties:
Energy above the most stable polymorph in this dataset = 19 meV/atom
Formation energy from raw total energies = -0.2918 eV per atom

Unit cell a=9.4083 b=9.5392 c=10.8055 alpha=90.00 beta=90.00 gamma=90.00
Sites, in units of the cell vectors:
S: 0.1679 0.9799 0.5699
S: 0.6679 0.5201 0.9301
S: 0.8321 0.0201 0.0699
S: 0.3321 0.4799 0.4301
S: 0.8321 0.0201 0.4301
S: 0.3321 0.4799 0.0699
S: 0.1679 0.9799 0.9301
S: 0.6679 0.5201 0.5699
S: 0.3521 0.2820 0.7500
S: 0.8521 0.2180 0.7500
S: 0.6479 0.7180 0.2500
S: 0.1479 0.7820 0.2500
S: 0.5436 0.9294 0.7500
S: 0.0436 0.5706 0.7500
S: 0.4564 0.0706 0.2500
S: 0.9564 0.4294 0.2500
Tl: 0.4355 0.6138 0.7500
Tl: 0.9355 0.8862 0.7500
Tl: 0.5645 0.3862 0.2500
Tl: 0.0645 0.1138 0.2500
Tl: 0.3778 0.8162 0.0687
Tl: 0.8778 0.6838 0.4313
Tl: 0.6222 0.1838 0.5687
Tl: 0.1222 0.3162 0.9313
Tl: 0.6222 0.1838 0.9313
Tl: 0.1222 0.3162 0.5687
Tl: 0.3778 0.8162 0.4313
Tl: 0.8778 0.6838 0.0687
Sn: 0.3103 0.0298 0.7500
Sn: 0.8103 0.4702 0.7500
Sn: 0.6897 0.9702 0.2500
Sn: 0.1897 0.5298 0.2500

=====

Here is a relaxed Zr3Be2Pd5 crystal from the Alexandria database. Energies are from GGA-PBE.

Computed properties:
Formation enthalpy at 0 K = -0.6163 eV per atom

Unit cell a=3.5543 b=9.4645 c=9.4645 alpha=90.00 beta=90.00 gamma=90.00
Sites, in units of the cell vectors:
Zr: 0.0000 0.3242 0.8242
Zr: 0.0000 0.6758 0.1758
Zr: 0.0000 0.1758 0.3242
Zr: 0.0000 0.8242 0.6758
Zr: 0.0000 0.0000 0.0000
Zr: 0.0000 0.5000 0.5000
Be: 0.0000 0.1185 0.6185
Be: 0.0000 0.8815 0.3815
Be: 0.0000 0.3815 0.1185
Be: 0.0000 0.6185 0.8815
Pd: 0.5000 0.2149 0.0693
Pd: 0.5000 0.7851 0.9307
Pd: 0.5000 0.9307 0.2149
Pd: 0.5000 0.0693 0.7851
Pd: 0.5000 0.2851 0.5693
Pd: 0.5000 0.7149 0.4307
Pd: 0.5000 0.5693 0.7149
Pd: 0.5000 0.4307 0.2851
Pd: 0.5000 0.0000 0.5000
Pd: 0.5000 0.5000 0.0000

=====

Here is a relaxed Zr2TaTc crystal from the Alexandria database. Energies are from GGA-PBE.

Computed properties:
Formation enthalpy at 0 K = 0.0010 eV per atom
Energy above the most stable polymorph in this dataset = 193 meV/atom

Unit cell a=4.7558 b=4.7558 c=4.7558 alpha=60.00 beta=60.00 gamma=60.00
Sites, in units of the cell vectors:
Tc: 0.0000 0.0000 0.0000
Zr: 0.2500 0.2500 0.2500
Zr: 0.7500 0.7500 0.7500
Ta: 0.5000 0.5000 0.5000

=====

Here is a relaxed Tc2GePt2 crystal from the Alexandria database. Energies are from GGA-PBE.

Computed properties:
Formation enthalpy at 0 K = 0.0539 eV per atom

Unit cell a=6.3751 b=6.3751 c=4.0197 alpha=90.00 beta=90.00 gamma=90.00
Sites, in units of the cell vectors:
Ge: 0.0000 0.0000 0.0000
Ge: 0.5000 0.5000 0.0000
Tc: 0.3637 0.8637 0.0000
Tc: 0.8637 0.6363 0.0000
Tc: 0.6363 0.1363 0.0000
Tc: 0.1363 0.3637 0.0000
Pt: 0.1512 0.6512 0.5000
Pt: 0.6512 0.8488 0.5000
Pt: 0.8488 0.3488 0.5000
Pt: 0.3488 0.1512 0.5000

=====

Here is a relaxed CeScAg4 crystal from the Alexandria database. Energies are from GGA-PBE.

Computed properties:
Formation enthalpy at 0 K = -0.0612 eV per atom

Unit cell a=5.6575 b=5.6575 c=5.6575 alpha=60.00 beta=60.00 gamma=60.00
Sites, in units of the cell vectors:
Sc: 0.0000 0.0000 0.0000
Ag: 0.6256 0.6256 0.1232
Ag: 0.6256 0.1232 0.6256
Ag: 0.6256 0.6256 0.6256
Ag: 0.1232 0.6256 0.6256
Ce: 0.2500 0.2500 0.2500

=====

Here is a relaxed LiTe2 crystal from the Alexandria database. Energies are from GGA-PBE.

Computed properties:
Energy above the most stable polymorph in this dataset = 152 meV/atom
Formation energy from raw total energies = -0.3106 eV per atom

Unit cell a=3.3146 b=3.3146 c=8.7685 alpha=90.00 beta=90.00 gamma=120.00
Sites, in units of the cell vectors:
Li: 0.0000 0.0000 0.0000
Te: 0.6667 0.3333 0.7448
Te: 0.3333 0.6667 0.2552

=====

Here is a relaxed Pr2Y8Er crystal from the Alexandria database. Energies are from GGA-PBE.

Computed properties:
Formation enthalpy at 0 K = 0.1555 eV per atom

Unit cell a=5.9339 b=9.0940 c=9.2275 alpha=60.48 beta=74.89 gamma=58.06
Sites, in units of the cell vectors:
Pr: 0.0000 0.3058 0.3883
Pr: 0.0000 0.6942 0.6117
Y: 0.8350 0.0982 0.2285
Y: 0.8350 0.3268 0.7715
Y: 0.2984 0.4215 0.0000
Y: 0.5000 0.7919 0.4162
Y: 0.5000 0.2081 0.5838
Y: 0.7016 0.5785 0.0000
Y: 0.1650 0.6732 0.2285
Y: 0.1650 0.9018 0.7715
Er: 0.5000 0.0000 0.0000

=====

Here is a relaxed Re2TcO crystal from the Alexandria database. Energies are from GGA-PBE.

Computed properties:
Formation energy from raw total energies = 0.5253 eV per atom

Unit cell a=4.5499 b=4.5499 c=6.9632 alpha=70.93 beta=70.93 gamma=90.00
Sites, in units of the cell vectors:
Re: 0.5248 0.1250 0.2500
Re: 0.2252 0.6250 0.2500
Re: 0.3750 0.4752 0.7500
Re: 0.8750 0.7748 0.7500
Tc: 0.0000 0.0000 0.0000
Tc: 0.7500 0.2500 0.5000
O: 0.5000 0.5000 0.0000
O: 0.2500 0.7500 0.5000

=====

Here is a relaxed TaCrW2 crystal from the Alexandria database. Energies are from GGA-PBE.

Computed properties:
Formation enthalpy at 0 K = -0.0315 eV per atom
Energy above the most stable polymorph in this dataset = 0 meV/atom

Unit cell a=5.2114 b=5.2114 c=4.4571 alpha=64.72 beta=64.72 gamma=35.13
Sites, in units of the cell vectors:
Cr: 0.7500 0.7500 0.7500
W: 0.0071 0.0071 0.9930
W: 0.4929 0.4929 0.5070
Ta: 0.2500 0.2500 0.2500

=====

Here is a relaxed Pr4Hg crystal from the Alexandria database. Energies are from GGA-PBE.

Computed properties:
Formation enthalpy at 0 K = -0.0681 eV per atom
Energy above the most stable polymorph in this dataset = 113 meV/atom

Unit cell a=6.5277 b=6.1553 c=9.1580 alpha=90.00 beta=90.00 gamma=67.88
Sites, in units of the cell vectors:
Pr: 0.1930 0.9398 0.3449
Pr: 0.8070 0.5602 0.3449
Pr: 0.2484 0.4847 0.0796
Pr: 0.7516 0.0153 0.0796
Pr: 0.7516 0.5153 0.9204
Pr: 0.2484 0.9847 0.9204
Pr: 0.1930 0.4398 0.6551
Pr: 0.8070 0.0602 0.6551
Hg: 0.5000 0.7500 0.6252
Hg: 0.5000 0.2500 0.3748

=====

Here is a relaxed Mn2B2Ru crystal from the Alexandria database. Energies are from GGA-PBE.

Computed properties:
Formation enthalpy at 0 K = -0.2657 eV per atom
Energy above the most stable polymorph in this dataset = 0 meV/atom

Unit cell a=5.6815 b=5.6815 c=3.0115 alpha=90.00 beta=90.00 gamma=90.00
Sites, in units of the cell vectors:
Ru: 0.0000 0.0000 0.0000
Ru: 0.5000 0.5000 0.0000
B: 0.3843 0.8843 0.0000
B: 0.8843 0.6157 0.0000
B: 0.6157 0.1157 0.0000
B: 0.1157 0.3843 0.0000
Mn: 0.1672 0.6672 0.5000
Mn: 0.6672 0.8328 0.5000
Mn: 0.8328 0.3328 0.5000
Mn: 0.3328 0.1672 0.5000

=====

Here is a relaxed Pm6ZnOs2Br3 crystal from the Alexandria database. Energies are from GGA-PBE.

Computed properties:
Formation energy from raw total energies = -0.7314 eV per atom

Unit cell a=7.1808 b=7.1808 c=8.1626 alpha=98.40 beta=98.40 gamma=120.05
Sites, in units of the cell vectors:
Pm: 0.9333 0.5765 0.7993
Pm: 0.7101 0.7101 0.2009
Pm: 0.0667 0.4235 0.2007
Pm: 0.5765 0.9333 0.7993
Pm: 0.2899 0.2899 0.7991
Pm: 0.4235 0.0667 0.2007
Zn: 0.0000 0.0000 0.0000
Os: 0.3336 0.6664 0.0000
Os: 0.6664 0.3336 0.0000
Br: 0.1678 0.8322 0.5000
Br: 0.8322 0.1678 0.5000
Br: 0.5000 0.5000 0.5000

=====

Here is a relaxed CdCu2Sn3S8 crystal from the Alexandria database. Energies are from GGA-PBE.

Computed properties:
Formation energy from raw total energies = -0.4011 eV per atom

Unit cell a=7.8605 b=7.8605 c=7.8605 alpha=56.78 beta=56.78 gamma=56.78
Sites, in units of the cell vectors:
Cd: 0.5000 0.5000 0.5000
Cu: 0.9235 0.9235 0.9235
Cu: 0.0765 0.0765 0.0765
Sn: 0.5000 0.0000 0.5000
Sn: 0.5000 0.5000 0.0000
Sn: 0.0000 0.5000 0.5000
S: 0.2488 0.2488 0.7317
S: 0.7317 0.2488 0.2488
S: 0.7512 0.2683 0.7512
S: 0.7414 0.7414 0.7414
S: 0.7512 0.7512 0.2683
S: 0.2683 0.7512 0.7512
S: 0.2488 0.7317 0.2488
S: 0.2586 0.2586 0.2586